a.
{
  "formula": "TaAsPtO",
  "functional": "PBE-GGA",
  "state": "optimized geometry",
  "lattice": [[2.971, 0.000, 0.000], [0.000, 6.459, 0.000], [0.000, 0.000, 7.237]],
  "species": ["Ta", "Ta", "As", "As", "Pt", "Pt", "O", "O"],
  "frac_coords": [[0.000, 0.072, 0.000], [0.000, 0.928, 0.500], [0.500, 0.281, 0.403], [0.500, 0.719, 0.903], [0.500, 0.399, 0.088], [0.500, 0.601, 0.588], [0.000, 0.081, 0.732], [0.000, 0.919, 0.232]],
  "sg": "Pmc2_1 (26)",
  "magmom_total_mub_per_cell": 0.00
}

b.
{
  "formula": "TaAsPtO",
  "functional": "PBE-GGA",
  "state": "optimized geometry",
  "lattice": [[4.599, 0.000, 0.000], [0.000, 4.599, 0.000], [0.000, 0.000, 5.238]],
  "species": ["Ta", "Ta", "As", "As", "Pt", "Pt", "O", "O"],
  "frac_coords": [[0.250, 0.750, 0.000], [0.750, 0.250, 0.000], [0.250, 0.250, 0.221], [0.750, 0.750, 0.779], [0.250, 0.250, 0.698], [0.750, 0.750, 0.302], [0.250, 0.750, 0.500], [0.750, 0.250, 0.500]],
  "sg": "P4/nmm (129)",
  "magmom_total_mub_per_cell": 0.00
}

Energies, relative to the best one, in eV/atom: a 0.000; b 0.828.

a.
{
  "formula": "TaAsPtO",
  "functional": "PBE-GGA",
  "state": "optimized geometry",
  "lattice": [[3.697, 0.000, 0.000], [0.000, 3.697, 0.000], [0.000, 0.000, 8.272]],
  "species": ["Ta", "Ta", "As", "As", "Pt", "Pt", "O", "O"],
  "frac_coords": [[0.250, 0.250, 0.155], [0.750, 0.750, 0.845], [0.250, 0.250, 0.724], [0.750, 0.750, 0.276], [0.250, 0.750, 0.500], [0.750, 0.250, 0.500], [0.250, 0.750, 0.000], [0.750, 0.250, 0.000]],
  "sg": "P4/nmm (129)",
  "magmom_total_mub_per_cell": 0.00
}

b.
{
  "formula": "TaAsPtO",
  "functional": "PBE-GGA",
  "state": "optimized geometry",
  "lattice": [[3.610, 0.000, 0.000], [0.000, 6.513, 0.000], [0.000, 0.000, 5.333]],
  "species": ["Ta", "Ta", "As", "As", "Pt", "Pt", "O", "O"],
  "frac_coords": [[0.000, 0.191, 0.000], [0.000, 0.809, 0.500], [0.000, 0.252, 0.493], [0.000, 0.748, 0.993], [0.500, 0.464, 0.665], [0.500, 0.536, 0.165], [0.500, 0.084, 0.010], [0.500, 0.916, 0.510]],
  "sg": "Pmc2_1 (26)",
  "magmom_total_mub_per_cell": 0.02
}

Energies, relative to the best one, in eV/atom: a 0.199; b 0.000.

a.
{
  "formula": "YAsPtO",
  "functional": "PBE-GGA",
  "state": "optimized geometry",
  "lattice": [[3.543, 0.000, 0.000], [0.000, 7.802, 0.000], [0.000, 0.000, 5.517]],
  "species": ["Y", "Y", "As", "As", "Pt", "Pt", "O", "O"],
  "frac_coords": [[0.000, 0.194, 0.000], [0.000, 0.806, 0.500], [0.000, 0.425, 0.508], [0.000, 0.575, 0.008], [0.500, 0.218, 0.469], [0.500, 0.782, 0.969], [0.500, 0.059, 0.905], [0.500, 0.941, 0.405]],
  "sg": "Pmc2_1 (26)",
  "magmom_total_mub_per_cell": 0.00
}

b.
{
  "formula": "YAsPtO",
  "functional": "PBE-GGA",
  "state": "optimized geometry",
  "lattice": [[5.971, 0.000, 0.000], [0.000, 5.971, 0.000], [0.000, 0.000, 4.495]],
  "species": ["Y", "Y", "As", "As", "Pt", "Pt", "O", "O"],
  "frac_coords": [[0.250, 0.750, 0.000], [0.750, 0.250, 0.000], [0.250, 0.250, 0.492], [0.750, 0.750, 0.508], [0.250, 0.250, 0.992], [0.750, 0.750, 0.008], [0.250, 0.750, 0.500], [0.750, 0.250, 0.500]],
  "sg": "P4/nmm (129)",
  "magmom_total_mub_per_cell": 0.01
}

Energies, relative to the best one, in eV/atom: a 0.000; b 0.208.

a.
{
  "formula": "YAsPtO",
  "functional": "PBE-GGA",
  "state": "optimized geometry",
  "lattice": [[4.163, 0.000, 0.000], [0.000, 4.163, 0.000], [0.000, 0.000, 7.842]],
  "species": ["Y", "Y", "As", "As", "Pt", "Pt", "O", "O"],
  "frac_coords": [[0.250, 0.250, 0.127], [0.750, 0.750, 0.873], [0.250, 0.250, 0.679], [0.750, 0.750, 0.321], [0.250, 0.750, 0.500], [0.750, 0.250, 0.500], [0.250, 0.750, 0.000], [0.750, 0.250, 0.000]],
  "sg": "P4/nmm (129)",
  "magmom_total_mub_per_cell": 0.00
}

b.
{
  "formula": "YAsPtO",
  "functional": "PBE-GGA",
  "state": "optimized geometry",
  "lattice": [[4.653, 0.000, 0.000], [0.000, 4.301, 0.000], [0.000, 0.000, 6.955]],
  "species": ["Y", "Y", "As", "As", "Pt", "Pt", "O", "O"],
  "frac_coords": [[0.000, 0.226, 0.000], [0.000, 0.774, 0.500], [0.500, 0.200, 0.687], [0.500, 0.800, 0.187], [0.500, 0.304, 0.345], [0.500, 0.696, 0.845], [0.000, 0.287, 0.338], [0.000, 0.713, 0.838]],
  "sg": "Pmc2_1 (26)",
  "magmom_total_mub_per_cell": 0.00
}

Energies, relative to the best one, in eV/atom: a 0.000; b 0.407.

a.
{
  "formula": "RbSmAsO",
  "functional": "PBE-GGA",
  "state": "optimized geometry",
  "lattice": [[4.211, 0.000, 0.000], [0.000, 4.211, 0.000], [0.000, 0.000, 11.052]],
  "species": ["Rb", "Rb", "Sm", "Sm", "As", "As", "O", "O"],
  "frac_coords": [[0.250, 0.750, 0.000], [0.750, 0.250, 0.000], [0.250, 0.250, 0.408], [0.750, 0.750, 0.592], [0.250, 0.250, 0.765], [0.750, 0.750, 0.235], [0.250, 0.750, 0.500], [0.750, 0.250, 0.500]],
  "sg": "P4/nmm (129)",
  "magmom_total_mub_per_cell": 0.03
}

b.
{
  "formula": "RbSmAsO",
  "functional": "PBE-GGA",
  "state": "optimized geometry",
  "lattice": [[6.019, 0.000, 0.000], [0.000, 6.019, 0.000], [0.000, 0.000, 5.325]],
  "species": ["Rb", "Rb", "Sm", "Sm", "As", "As", "O", "O"],
  "frac_coords": [[0.250, 0.250, 0.002], [0.750, 0.750, 0.998], [0.250, 0.750, 0.500], [0.750, 0.250, 0.500], [0.250, 0.250, 0.503], [0.750, 0.750, 0.497], [0.250, 0.750, 0.000], [0.750, 0.250, 0.000]],
  "sg": "P4/nmm (129)",
  "magmom_total_mub_per_cell": 0.00
}

c.
{
  "formula": "RbSmAsO",
  "functional": "PBE-GGA",
  "state": "optimized geometry",
  "lattice": [[3.545, 0.000, 0.000], [0.000, 8.119, 0.000], [0.000, 0.000, 8.125]],
  "species": ["Rb", "Rb", "Sm", "Sm", "As", "As", "O", "O"],
  "frac_coords": [[0.000, 0.056, 0.000], [0.000, 0.944, 0.500], [0.500, 0.371, 0.359], [0.500, 0.629, 0.859], [0.500, 0.298, 0.715], [0.500, 0.702, 0.215], [0.000, 0.239, 0.287], [0.000, 0.761, 0.787]],
  "sg": "Pmc2_1 (26)",
  "magmom_total_mub_per_cell": 0.00
}

Energies, relative to the best one, in eV/atom: a 0.134; b 0.585; c 0.000.

a.
{
  "formula": "RbTaAsO",
  "functional": "PBE-GGA",
  "state": "optimized geometry",
  "lattice": [[3.579, 0.000, 0.000], [0.000, 7.079, 0.000], [0.000, 0.000, 8.059]],
  "species": ["Rb", "Rb", "Ta", "Ta", "As", "As", "O", "O"],
  "frac_coords": [[0.000, 0.185, 0.000], [0.000, 0.815, 0.500], [0.500, 0.316, 0.408], [0.500, 0.684, 0.908], [0.500, 0.438, 0.695], [0.500, 0.562, 0.195], [0.000, 0.199, 0.379], [0.000, 0.801, 0.879]],
  "sg": "Pmc2_1 (26)",
  "magmom_total_mub_per_cell": 1.71
}

b.
{
  "formula": "RbTaAsO",
  "functional": "PBE-GGA",
  "state": "optimized geometry",
  "lattice": [[4.121, 0.000, 0.000], [0.000, 4.121, 0.000], [0.000, 0.000, 11.730]],
  "species": ["Rb", "Rb", "Ta", "Ta", "As", "As", "O", "O"],
  "frac_coords": [[0.250, 0.250, 0.150], [0.750, 0.750, 0.850], [0.250, 0.750, 0.500], [0.750, 0.250, 0.500], [0.250, 0.250, 0.636], [0.750, 0.750, 0.364], [0.250, 0.750, 0.000], [0.750, 0.250, 0.000]],
  "sg": "P4/nmm (129)",
  "magmom_total_mub_per_cell": 2.38
}

c.
{
  "formula": "RbTaAsO",
  "functional": "PBE-GGA",
  "state": "optimized geometry",
  "lattice": [[3.856, 0.000, 0.000], [0.000, 8.326, 0.000], [0.000, 0.000, 6.663]],
  "species": ["Rb", "Rb", "Ta", "Ta", "As", "As", "O", "O"],
  "frac_coords": [[0.000, 0.175, 0.000], [0.000, 0.825, 0.500], [0.500, 0.414, 0.577], [0.500, 0.586, 0.077], [0.000, 0.232, 0.491], [0.000, 0.768, 0.991], [0.500, 0.418, 0.871], [0.500, 0.582, 0.371]],
  "sg": "Pmc2_1 (26)",
  "magmom_total_mub_per_cell": 2.00
}

Energies, relative to the best one, in eV/atom: a 0.132; b 0.889; c 0.000.